(1)
Gd3Mg3Al2Cd | GGA-PBE | optimized geometry

Cell and atoms, written as POSCAR:
```
Gd3Mg3Al2Cd
1.0
7.465 0.000 0.000
-3.733 6.465 0.000
0.000 0.000 4.580
Al Cd Gd Mg
2 1 3 3
direct
0.667 0.333 0.500
0.333 0.667 0.500
0.000 0.000 0.000
0.428 0.000 0.000
0.000 0.428 0.000
0.572 0.572 0.000
0.754 0.000 0.500
0.246 0.246 0.500
0.000 0.754 0.500
```

Output
For the theoretical density, the calculation gives 5.34 g cm⁻³. As for the symmetry: P-62m.

=====

(2)
CsZrCu3Se4 | GGA-PBE | optimized geometry

Cell and atoms, written as POSCAR:
```
CsZrCu3Se4
1.0
5.954 0.000 0.000
0.000 7.832 0.000
-2.829 0.000 10.004
Cs Cu Se Zr
2 6 8 2
direct
0.805 0.750 0.120
0.195 0.250 0.880
0.649 0.250 0.299
0.717 0.016 0.498
0.717 0.484 0.498
0.283 0.516 0.502
0.283 0.984 0.502
0.351 0.750 0.701
0.785 0.250 0.097
0.400 0.514 0.290
0.400 0.986 0.290
0.980 0.750 0.489
0.020 0.250 0.511
0.600 0.014 0.710
0.600 0.486 0.710
0.215 0.750 0.903
0.144 0.250 0.291
0.856 0.750 0.709
```

Output
The calculation puts the energy above the most stable polymorph in this dataset at 0.0000 eV/atom. For the theoretical density, the calculation gives 5.20 g cm⁻³. As for the symmetry: P2_1/m.

=====

(3)
BaNaDySe3 | GGA-PBE | optimized geometry

Cell and atoms, written as POSCAR:
```
BaNaDySe3
1.0
10.869 0.000 0.000
0.000 4.408 0.000
0.000 0.000 14.326
Ba Dy Na Se
4 4 4 12
direct
0.752 0.250 0.003
0.252 0.250 0.497
0.748 0.750 0.503
0.248 0.750 0.997
0.497 0.750 0.249
0.997 0.750 0.251
0.003 0.250 0.749
0.503 0.250 0.751
0.247 0.250 0.224
0.747 0.250 0.276
0.253 0.750 0.724
0.753 0.750 0.776
0.451 0.250 0.116
0.043 0.250 0.117
0.747 0.750 0.171
0.247 0.750 0.329
0.543 0.250 0.383
0.951 0.250 0.384
0.049 0.750 0.616
0.457 0.750 0.617
0.753 0.250 0.671
0.253 0.250 0.829
0.957 0.750 0.883
0.549 0.750 0.884
```

Output
For the theoretical density, the calculation gives 5.42 g cm⁻³. As for the symmetry: Pnma.

=====

(4)
MgCoGeB | GGA-PBE | optimized geometry

Cell and atoms, written as POSCAR:
```
MgCoGeB
1.0
-1.300 -3.925 0.096
-3.944 -0.851 0.911
-2.544 -1.409 -2.941
B Co Ge Mg
1 1 1 1
direct
0.000 0.000 0.000
0.500 0.500 0.500
0.250 0.250 0.250
0.750 0.750 0.750
```

Output
The calculation puts the energy above the most stable polymorph in this dataset at 0.1585 eV/atom. For the theoretical density, the calculation gives 5.53 g cm⁻³. As for the symmetry: F-43m.

=====

(5)
Ge4PdPt3 | GGA-PBE | optimized geometry

Cell and atoms, written as POSCAR:
```
Ge4PdPt3
1.0
-0.032 -1.642 5.601
3.357 -1.524 -0.428
2.652 5.396 1.584
Ge Pd Pt
4 1 3
direct
0.812 0.000 0.085
0.314 0.000 0.415
0.690 0.500 0.585
0.184 0.500 0.915
0.498 0.000 0.806
0.501 0.500 0.190
0.002 0.500 0.307
0.000 0.000 0.696
```

Output
For the theoretical density, the calculation gives 12.11 g cm⁻³. As for the symmetry: Pm.

=====

(6)
Hf2In2Cu | GGA-PBE | optimized geometry

Cell and atoms, written as POSCAR:
```
Hf2In2Cu
1.0
-1.960 1.960 7.379
1.960 -1.960 7.379
1.960 1.960 -7.379
Cu Hf In
1 2 2
direct
0.000 0.000 0.000
0.409 0.409 0.000
0.591 0.591 0.000
0.750 0.250 0.500
0.250 0.750 0.500
```

Output
For the theoretical density, the calculation gives 9.52 g cm⁻³. As for the symmetry: I4/mmm.

=====

(7)
GdGaSiIr2 | GGA-PBE | optimized geometry

Cell and atoms, written as POSCAR:
```
GdGaSiIr2
1.0
4.124 0.000 0.000
0.000 4.124 0.000
0.000 0.000 10.333
Ir Si Ga Gd
4 2 2 2
direct
0.000 0.000 0.000
0.500 0.500 0.000
0.500 0.000 0.352
0.000 0.500 0.648
0.500 0.000 0.124
0.000 0.500 0.876
0.000 0.000 0.500
0.500 0.500 0.500
0.000 0.500 0.247
0.500 0.000 0.753
```

Output
The calculation puts the energy above the most stable polymorph in this dataset at 0.0000 eV/atom. For the theoretical density, the calculation gives 12.08 g cm⁻³. As for the symmetry: P4/nmm.

=====

(8)
Al2InPd5 | GGA-PBE | optimized geometry

Cell and atoms, written as POSCAR:
```
Al2InPd5
1.0
5.820 0.471 5.267
1.648 -3.218 6.983
-2.349 -0.815 -7.460
Al In Pd
2 1 5
direct
0.253 0.253 0.000
0.747 0.747 0.000
0.000 0.000 0.000
0.500 0.500 0.000
0.642 0.142 0.500
0.858 0.358 0.500
0.142 0.642 0.500
0.358 0.858 0.500
```

Output
For the theoretical density, the calculation gives 9.38 g cm⁻³. As for the symmetry: I4/mmm.

=====

| no. | calculated total energy (eV/atom) |
| --- | --- |
| 1 | -3.322 |
| 2 | -4.604 |
| 3 | -4.724 |
| 4 | -4.339 |
| 5 | -5.710 |
| 6 | -5.268 |
| 7 | -7.117 |
| 8 | -5.258 |